Here is a relaxed structure of TbTm6Mg12 from the Alexandria database. Energies are from PBE-GGA.

a = 8.716 Å, b = 8.716 Å, c = 8.716 Å
α = 106.46°, β = 106.46°, γ = 106.46°
Fractional positions:
Tb (0.000, 0.000, 0.000)
Tm (0.715, 0.313, 0.313)
Tm (0.313, 0.313, 0.715)
Tm (0.313, 0.715, 0.313)
Tm (0.687, 0.687, 0.285)
Tm (0.285, 0.687, 0.687)
Tm (0.687, 0.285, 0.687)
Mg (0.893, 0.107, 0.500)
Mg (0.883, 0.657, 0.657)
Mg (0.657, 0.657, 0.883)
Mg (0.343, 0.117, 0.343)
Mg (0.343, 0.343, 0.117)
Mg (0.117, 0.343, 0.343)
Mg (0.107, 0.500, 0.893)
Mg (0.500, 0.893, 0.107)
Mg (0.107, 0.893, 0.500)
Mg (0.893, 0.500, 0.107)
Mg (0.500, 0.107, 0.893)
Mg (0.657, 0.883, 0.657)

## Properties
Total DFT energy (no corrections)   -2.35 eV per atom

Here is a relaxed structure of SiSnP2 from the Alexandria database. Energies are from PBE-GGA.

a = 4.644 Å, b = 4.644 Å, c = 4.644 Å
α = 60.00°, β = 60.00°, γ = 60.00°
Fractional positions:
P (0.250, 0.250, 0.250)
P (0.750, 0.750, 0.750)
Si (0.000, 0.000, 0.000)
Sn (0.500, 0.500, 0.500)

## Properties
Excess energy over the best structure of this formula in the dataset   0.498 eV per atom
Raw formation energy   2.18 eV per formula unit

Here is a relaxed structure of SmScGaAg from the Alexandria database. Energies are from PBE-GGA.

a = 5.032 Å, b = 5.032 Å, c = 5.032 Å
α = 60.00°, β = 60.00°, γ = 60.00°
Fractional positions:
Sc (0.500, 0.500, 0.500)
Ga (0.750, 0.750, 0.750)
Ag (0.250, 0.250, 0.250)
Sm (0.000, 0.000, 0.000)

## Properties
Total DFT energy (no corrections)   -4.65 eV per atom

Here is a relaxed structure of Ag2RuCl from the Alexandria database. Energies are from PBE-GGA.

a = 6.787 Å, b = 6.787 Å, c = 6.787 Å
α = 155.11°, β = 140.71°, γ = 47.07°
Fractional positions:
Ag (0.082, 0.082, 0.000)
Ag (0.716, 0.216, 0.500)
Cl (0.424, 0.424, 0.000)
Ru (0.278, 0.778, 0.500)

## Properties
Excess energy over the best structure of this formula in the dataset   0.061 eV per atom
Raw formation energy   1.50 eV per formula unit

Here is a relaxed structure of Ca2AlZnAg6 from the Alexandria database. Energies are from PBE-GGA.

a = 6.955 Å, b = 6.955 Å, c = 6.950 Å
α = 60.04°, β = 60.04°, γ = 90.03°
Fractional positions:
Ca (0.250, 0.750, 0.500)
Ca (0.750, 0.250, 0.500)
Al (0.500, 0.500, 0.000)
Zn (0.000, 0.000, 0.000)
Ag (0.250, 0.750, 0.000)
Ag (0.750, 0.750, 0.000)
Ag (0.250, 0.250, 0.500)
Ag (0.750, 0.250, 0.000)
Ag (0.250, 0.250, 0.000)
Ag (0.750, 0.750, 0.500)

## Properties
Total DFT energy (no corrections)   -2.60 eV per atom

Here is a relaxed structure of Cs2RbInCl5 from the Alexandria database. Energies are from PBE-GGA.

a = 5.107 Å, b = 9.922 Å, c = 14.027 Å
α = 90.00°, β = 90.00°, γ = 104.91°
Fractional positions:
Cs (0.850, 0.699, 0.822)
Cs (0.107, 0.214, 0.694)
Cs (0.150, 0.301, 0.322)
Cs (0.893, 0.786, 0.194)
Rb (0.793, 0.587, 0.526)
Rb (0.207, 0.413, 0.026)
In (0.523, 0.045, 0.950)
In (0.477, 0.955, 0.450)
Cl (0.379, 0.759, 0.004)
Cl (0.660, 0.319, 0.881)
Cl (0.483, 0.966, 0.775)
Cl (0.284, 0.567, 0.674)
Cl (0.970, 0.940, 0.497)
Cl (0.621, 0.241, 0.504)
Cl (0.340, 0.681, 0.381)
Cl (0.517, 0.034, 0.275)
Cl (0.716, 0.433, 0.174)
Cl (0.030, 0.060, 0.997)

## Properties
Raw formation energy   -14.64 eV per formula unit